# 1
TmNbCo | PBE | optimized geometry

Cell and atoms, written as extended XYZ:
```
3
Lattice="3.200 0.000 0.000 0.000 3.200 0.000 -1.600 -1.600 5.479" Properties=species:S:1:pos:R:3 pbc="T T T"
Nb 0.000 0.000 3.272
Tm 0.000 0.000 0.069
Co 1.600 1.600 2.137
```

Summary:
**Total DFT energy (no corrections)**: -7.198 eV per atom
**Crystal system**: tetragonal
**Energy above the lowest structure with this stoichiometry**: 0.085 eV per atom
**E_form**: 0.054 eV/f.u.

# 2
BaLa2As2 | PBE | optimized geometry

Cell and atoms, written as extended XYZ:
```
10
Lattice="8.577 0.000 0.000 0.000 8.577 0.000 0.000 0.000 4.107" Properties=species:S:1:pos:R:3 pbc="T T T"
As 3.010 7.298 0.000
As 7.298 5.568 0.000
As 5.568 1.279 0.000
As 1.279 3.010 0.000
Ba 0.000 0.000 0.000
Ba 4.289 4.289 0.000
La 1.269 5.557 2.054
La 5.557 7.309 2.054
La 7.309 3.020 2.054
La 3.020 1.269 2.054
```

Summary:
**Total DFT energy (no corrections)**: -5.308 eV per atom
**Crystal system**: tetragonal
**Energy above the lowest structure with this stoichiometry**: 0.000 eV per atom
**E_form**: -5.466 eV/f.u.

# 3
Dy2Fe2Co5Si | PBE | optimized geometry

Cell and atoms, written as extended XYZ:
```
20
Lattice="3.142 0.000 0.000 0.000 9.524 0.000 0.000 0.000 9.524" Properties=species:S:1:pos:R:3 pbc="T T T"
Dy 0.000 6.422 1.660
Dy 0.000 3.102 7.864
Dy 0.000 1.660 3.102
Dy 0.000 7.864 6.422
Fe 0.000 1.241 6.004
Fe 0.000 8.283 3.521
Fe 0.000 6.004 8.283
Fe 0.000 3.521 1.241
Co 1.571 1.833 0.529
Co 1.571 7.692 8.996
Co 1.571 0.529 7.692
Co 1.571 6.595 4.233
Co 1.571 8.996 1.833
Co 1.571 2.929 5.291
Co 1.571 5.291 6.595
Co 1.571 4.233 2.929
Co 1.571 4.762 0.000
Co 1.571 0.000 4.762
Si 0.000 0.000 0.000
Si 0.000 4.762 4.762
```

Summary:
**Total DFT energy (no corrections)**: -6.793 eV per atom
**Crystal system**: tetragonal
**Energy relative to the elements, uncorrected**: -0.853 eV/f.u.

# 4
SmHoSn | PBE | optimized geometry

Cell and atoms, written as extended XYZ:
```
6
Lattice="-1.939 -1.035 2.826 6.041 -0.870 1.557 -1.795 8.510 1.886" Properties=species:S:1:pos:R:3 pbc="T T T"
Sm 3.779 -0.751 2.317
Sm -1.472 7.356 3.952
Ho 1.837 4.103 5.030
Ho 0.471 2.502 1.239
Sn 1.758 1.194 3.911
Sn 0.549 5.411 2.359
```

Summary:
**Total DFT energy (no corrections)**: -4.791 eV per atom
**Crystal system**: monoclinic
**Energy above the lowest structure with this stoichiometry**: 0.248 eV per atom
**E_form**: -1.072 eV/f.u.

# 5
Cs3ErNb2O8 | PBE | optimized geometry

Cell and atoms, written as extended XYZ:
```
14
Lattice="-4.190 1.565 -4.505 0.684 -6.070 1.728 -6.000 1.013 5.933" Properties=species:S:1:pos:R:3 pbc="T T T"
Cs -5.276 -2.793 3.938
Cs -4.230 -0.699 -0.781
Cs 0.000 0.000 0.000
Er -3.000 0.507 2.967
Nb -2.599 -3.245 1.290
Nb -6.908 -0.247 1.867
O -1.309 -3.463 0.015
O -8.197 -0.029 3.142
O -2.220 -4.428 2.730
O -7.287 0.936 0.427
O -2.556 -1.437 1.879
O -6.950 -2.055 1.278
O -4.284 -3.657 0.511
O -5.222 0.165 2.646
```

Summary:
**Total DFT energy (no corrections)**: -7.358 eV per atom
**Crystal system**: trigonal
**Energy relative to the elements, uncorrected**: -36.085 eV/f.u.

# 6
Ac4Tl3Ir | PBE | optimized geometry

Cell and atoms, written as extended XYZ:
```
16
Lattice="-3.468 3.323 1.266 -6.427 -5.187 -3.989 -1.847 -6.063 10.858" Properties=species:S:1:pos:R:3 pbc="T T T"
Ac -5.674 -4.186 -3.302
Ac -4.862 -0.469 -1.089
Ac -1.848 -2.096 1.696
Ac -7.682 -4.033 0.540
Ac -4.668 -5.659 3.325
Ac -3.856 -1.943 5.538
Ac -8.489 -6.682 5.284
Ac -2.888 -5.510 7.809
Tl -2.471 1.461 0.395
Tl -4.247 -3.896 -0.152
Tl -5.283 -2.233 2.387
Tl -7.059 -7.589 1.840
Tl -5.980 -4.520 6.484
Tl -5.397 -7.671 6.610
Ir -1.758 -1.025 -0.871
Ir -7.772 -5.104 3.107
```

Summary:
**Total DFT energy (no corrections)**: -4.372 eV per atom
**Crystal system**: orthorhombic
**E_form**: -2.586 eV/f.u.

# 7
CuAs2Pb2 | PBE | optimized geometry

Cell and atoms, written as extended XYZ:
```
10
Lattice="6.387 0.000 0.000 0.000 6.387 0.000 0.000 0.000 5.979" Properties=species:S:1:pos:R:3 pbc="T T T"
Pb 1.980 5.173 2.989
Pb 5.173 4.408 2.989
Pb 4.408 1.214 2.989
Pb 1.214 1.980 2.989
As 2.313 5.507 0.000
As 5.507 4.075 0.000
As 4.075 0.881 0.000
As 0.881 2.313 0.000
Cu 0.000 0.000 0.000
Cu 3.194 3.194 0.000
```

Summary:
**Total DFT energy (no corrections)**: -4.108 eV per atom
**Crystal system**: tetragonal
**Energy above the lowest structure with this stoichiometry**: 0.000 eV per atom
**E_form**: 0.272 eV/f.u.

# 8
Sc2Co2Sb | PBE | optimized geometry

Cell and atoms, written as extended XYZ:
```
10
Lattice="6.825 0.000 0.000 0.000 6.825 0.000 0.000 0.000 3.676" Properties=species:S:1:pos:R:3 pbc="T T T"
Sc 1.202 4.614 1.838
Sc 4.614 5.623 1.838
Sc 5.623 2.210 1.838
Sc 2.210 1.202 1.838
Sb 0.000 0.000 0.000
Sb 3.412 3.412 0.000
Co 2.603 6.015 0.000
Co 6.015 4.221 0.000
Co 4.221 0.809 0.000
Co 0.809 2.603 0.000
```

Summary:
**Total DFT energy (no corrections)**: -6.632 eV per atom
**Crystal system**: tetragonal
**Energy relative to the elements, uncorrected**: -2.161 eV/f.u.

# 9
Li2LaMg | PBE | optimized geometry

Cell and atoms, written as extended XYZ:
```
4
Lattice="-0.902 3.181 0.426 -3.230 0.811 0.147 -1.242 -0.045 10.755" Properties=species:S:1:pos:R:3 pbc="T T T"
Li -1.273 0.264 8.378
Li -1.347 1.021 2.565
La -2.687 1.972 5.673
Mg -3.997 2.616 11.129
```

Summary:
**Total DFT energy (no corrections)**: -2.500 eV per atom
**Crystal system**: trigonal
**E_form**: 0.349 eV/f.u.

# 10
TaCu3TeSe2S | PBE | optimized geometry

Cell and atoms, written as extended XYZ:
```
8
Lattice="4.071 4.055 0.045 -4.071 4.055 0.045 0.000 0.228 5.753" Properties=species:S:1:pos:R:3 pbc="T T T"
Ta 0.000 8.097 0.106
Cu 0.000 8.154 2.989
Cu 1.981 6.281 5.808
Cu -1.981 6.281 5.808
Te 0.000 2.354 4.177
Se 2.062 4.030 1.474
Se -2.062 4.030 1.474
S 0.000 6.407 4.550
```

Summary:
**Total DFT energy (no corrections)**: -5.283 eV per atom
**Crystal system**: monoclinic
**Energy relative to the elements, uncorrected**: -3.886 eV/f.u.

# 11
CaHfZr3 | PBE | optimized geometry

Cell and atoms, written as extended XYZ:
```
5
Lattice="5.298 0.000 0.000 0.000 5.298 0.000 0.000 0.000 5.298" Properties=species:S:1:pos:R:3 pbc="T T T"
Ca 2.649 2.649 2.649
Hf 0.000 0.000 0.000
Zr 0.000 2.649 0.000
Zr 0.000 0.000 2.649
Zr 2.649 0.000 0.000
```

Summary:
**Total DFT energy (no corrections)**: -6.698 eV per atom
**Crystal system**: cubic
**Energy above the lowest structure with this stoichiometry**: 0.000 eV per atom
**E_form**: 4.111 eV/f.u.

# 12
LaHfAsBr2 | PBE | optimized geometry

Cell and atoms, written as extended XYZ:
```
5
Lattice="-4.155 2.039 3.157 -3.556 -0.608 -4.287 -1.319 -5.615 1.890" Properties=species:S:1:pos:R:3 pbc="T T T"
As -0.660 -2.808 0.945
Hf -4.515 -2.092 0.380
Br -1.778 -0.304 -2.143
Br -2.077 1.020 1.579
La 0.000 0.000 0.000
```

Summary:
**Total DFT energy (no corrections)**: -4.559 eV per atom
**Crystal system**: tetragonal
**Energy above the lowest structure with this stoichiometry**: 0.727 eV per atom
**Energy relative to the elements, uncorrected**: 0.079 eV/f.u.